This record from the Open Quantum Materials Database describes an optimized crystal structure of TeAuNO. The functional is PBE-GGA.

a b c (Å): 4.441 4.441 7.013
angles (deg): 90.00 90.00 90.00
Fractional coordinates of all 8 atoms:
Te  0.250  0.750  0.000
Te  0.750  0.250  0.000
Au  0.250  0.250  0.490
Au  0.750  0.750  0.510
N  0.250  0.250  0.002
N  0.750  0.750  0.998
O  0.250  0.750  0.500
O  0.750  0.250  0.500

Results
* space group: No. 129
* offset from the most stable computed form: 2.40 eV per formula unit
* raw total energy: -4.065 eV/atom